# 1
This record from Alexandria via LeMat-Bulk describes crystalline FeSbSe2Br at its relaxed geometry. The functional is PBE-GGA. Values from VASP.

N(E_F) (states/eV per atom): 1.27
SG: P4/mmm
Polymorph energy (0 for the lowest one) (eV per atom): 0.000
Energy relative to the elements, uncorrected (eV/atom): 0.22

Structure (Quantum ESPRESSO input):
```
&SYSTEM
  ibrav = 0, nat = 5, ntyp = 4
/
ATOMIC_SPECIES
Sb 121.76 Sb.upf
Se 78.96 Se.upf
Br 79.90 Br.upf
Fe 55.84 Fe.upf
CELL_PARAMETERS angstrom
-2.644 -2.029 3.376
3.909 -0.853 2.548
-0.491 4.272 2.183
ATOMIC_POSITIONS crystal
Sb 0.500 0.500 0.500
Se 0.000 0.500 0.000
Se 0.500 0.000 0.000
Br 0.000 0.000 0.500
Fe 0.000 0.000 0.000
```


# 2
This record from Alexandria via LeMat-Bulk describes crystalline Pm5Pd2Au5 at its relaxed geometry. The functional is PBE-GGA. Values from VASP.

Formation energy (meV/atom): -794
N(E_F) (states/eV per atom): 0.59
SG: C2/m

Structure (Quantum ESPRESSO input):
```
&SYSTEM
  ibrav = 0, nat = 12, ntyp = 3
/
ATOMIC_SPECIES
Pm 145.00 Pm.upf
Pd 106.42 Pd.upf
Au 196.97 Au.upf
CELL_PARAMETERS angstrom
4.039 0.000 0.911
2.021 8.338 0.447
0.149 -0.526 8.745
ATOMIC_POSITIONS crystal
Pm 0.000 0.500 0.500
Pm 0.695 0.705 0.905
Pm 0.381 0.922 0.315
Pm 0.619 0.078 0.685
Pm 0.305 0.295 0.095
Pd 0.377 0.493 0.753
Pd 0.623 0.507 0.247
Au 0.720 0.200 0.360
Au 0.932 0.301 0.834
Au 0.068 0.699 0.166
Au 0.280 0.800 0.640
Au 0.000 0.000 0.000
```


# 3
This record from Alexandria via LeMat-Bulk describes crystalline CrTcW2 at its relaxed geometry. The functional is PBE-GGA. Values from VASP.

Formation energy (meV/atom): 61
N(E_F) (states/eV per atom): 0.81
SG: Imm2
Polymorph energy (0 for the lowest one) (eV per atom): 0.043

Structure (Quantum ESPRESSO input):
```
&SYSTEM
  ibrav = 0, nat = 4, ntyp = 3
/
ATOMIC_SPECIES
Cr 52.00 Cr.upf
Tc 98.00 Tc.upf
W 183.84 W.upf
CELL_PARAMETERS angstrom
-1.784 4.404 1.931
0.035 0.503 5.104
2.893 -0.820 -4.155
ATOMIC_POSITIONS crystal
Cr 0.505 0.505 0.000
Tc 0.251 0.751 0.500
W 0.998 0.998 0.000
W 0.746 0.246 0.500
```


# 4
This record from Alexandria via LeMat-Bulk describes crystalline LiSn4Hg at its relaxed geometry. The functional is PBE-GGA. Values from VASP.

Formation energy (meV/atom): 88
N(E_F) (states/eV per atom): 0.80
SG: F-43m

Structure (Quantum ESPRESSO input):
```
&SYSTEM
  ibrav = 0, nat = 6, ntyp = 3
/
ATOMIC_SPECIES
Li 6.94 Li.upf
Hg 200.59 Hg.upf
Sn 118.71 Sn.upf
CELL_PARAMETERS angstrom
-6.235 0.034 -0.132
-3.109 -5.089 -1.828
-3.226 -3.345 4.159
ATOMIC_POSITIONS crystal
Li 0.250 0.250 0.250
Hg 0.000 0.000 0.000
Sn 0.625 0.625 0.125
Sn 0.625 0.125 0.625
Sn 0.625 0.625 0.625
Sn 0.125 0.625 0.625
```


# 5
This record from Alexandria via LeMat-Bulk describes crystalline Na2LiSiP2 at its relaxed geometry. The functional is PBE-GGA. Values from VASP.

N(E_F) (states/eV per atom): 0.17
SG: Ibam
Energy relative to the elements, uncorrected (eV/atom): -0.38

Structure (Quantum ESPRESSO input):
```
&SYSTEM
  ibrav = 0, nat = 12, ntyp = 4
/
ATOMIC_SPECIES
Na 22.99 Na.upf
Li 6.94 Li.upf
Si 28.09 Si.upf
P 30.97 P.upf
CELL_PARAMETERS angstrom
5.869 0.000 0.000
0.000 5.963 0.000
-2.934 -2.981 6.686
ATOMIC_POSITIONS crystal
Na 0.407 0.180 0.360
Na 0.593 0.820 0.640
Na 0.047 0.320 0.640
Na 0.953 0.680 0.360
Li 0.000 0.750 0.000
Li 0.000 0.250 0.000
Si 0.500 0.750 0.000
Si 0.500 0.250 0.000
P 0.814 0.098 0.196
P 0.382 0.598 0.196
P 0.618 0.402 0.804
P 0.186 0.902 0.804
```


# 6
This record from Alexandria via LeMat-Bulk describes crystalline CrCd at its relaxed geometry. The functional is PBE-GGA. Values from VASP.

Formation energy (meV/atom): 741
N(E_F) (states/eV per atom): 0.89
SG: Fddd

Structure (Quantum ESPRESSO input):
```
&SYSTEM
  ibrav = 0, nat = 32, ntyp = 2
/
ATOMIC_SPECIES
Cr 52.00 Cr.upf
Cd 112.41 Cd.upf
CELL_PARAMETERS angstrom
8.476 0.000 0.000
0.000 13.682 0.000
0.000 0.000 4.983
ATOMIC_POSITIONS crystal
Cr 0.000 0.933 0.000
Cr 0.000 0.067 0.000
Cr 0.250 0.817 0.250
Cr 0.250 0.683 0.250
Cr 0.000 0.433 0.500
Cr 0.000 0.567 0.500
Cr 0.250 0.317 0.750
Cr 0.250 0.183 0.750
Cr 0.500 0.933 0.500
Cr 0.500 0.067 0.500
Cr 0.750 0.817 0.750
Cr 0.750 0.683 0.750
Cr 0.500 0.433 0.000
Cr 0.500 0.567 0.000
Cr 0.750 0.317 0.250
Cr 0.750 0.183 0.250
Cd 0.335 0.000 0.000
Cd 0.665 0.000 0.000
Cd 0.915 0.750 0.250
Cd 0.585 0.750 0.250
Cd 0.335 0.500 0.500
Cd 0.665 0.500 0.500
Cd 0.915 0.250 0.750
Cd 0.585 0.250 0.750
Cd 0.835 0.000 0.500
Cd 0.165 0.000 0.500
Cd 0.415 0.750 0.750
Cd 0.085 0.750 0.750
Cd 0.835 0.500 0.000
Cd 0.165 0.500 0.000
Cd 0.415 0.250 0.250
Cd 0.085 0.250 0.250
```


# 7
This record from Alexandria via LeMat-Bulk describes crystalline LaCu3Pd at its relaxed geometry. The functional is PBE-GGA. Values from VASP.

Formation energy (meV/atom): 130
N(E_F) (states/eV per atom): 0.75
SG: Pm-3m
Polymorph energy (0 for the lowest one) (eV per atom): 0.000

Structure (Quantum ESPRESSO input):
```
&SYSTEM
  ibrav = 0, nat = 5, ntyp = 3
/
ATOMIC_SPECIES
Cu 63.55 Cu.upf
Pd 106.42 Pd.upf
La 138.91 La.upf
CELL_PARAMETERS angstrom
4.725 0.000 0.000
0.000 4.725 0.000
0.000 0.000 4.725
ATOMIC_POSITIONS crystal
Cu 0.000 0.500 0.000
Cu 0.000 0.000 0.500
Cu 0.500 0.000 0.000
Pd 0.000 0.000 0.000
La 0.500 0.500 0.500
```


# 8
This record from Alexandria via LeMat-Bulk describes crystalline MgZn2AgAu2 at its relaxed geometry. The functional is PBE-GGA. Values from VASP.

Formation energy (meV/atom): -316
N(E_F) (states/eV per atom): 0.22
SG: P-3m1

Structure (Quantum ESPRESSO input):
```
&SYSTEM
  ibrav = 0, nat = 6, ntyp = 4
/
ATOMIC_SPECIES
Mg 24.30 Mg.upf
Zn 65.41 Zn.upf
Ag 107.87 Ag.upf
Au 196.97 Au.upf
CELL_PARAMETERS angstrom
4.568 0.000 0.000
-2.284 3.956 0.000
0.000 0.000 5.611
ATOMIC_POSITIONS crystal
Mg 0.000 0.000 0.500
Zn 0.333 0.667 0.785
Zn 0.667 0.333 0.215
Ag 0.000 0.000 0.000
Au 0.333 0.667 0.277
Au 0.667 0.333 0.723
```


# 9
This record from Alexandria via LeMat-Bulk describes crystalline MnTeRu2 at its relaxed geometry. The functional is PBE-GGA. Values from VASP.

N(E_F) (states/eV per atom): 1.02
SG: Pmm2
Energy relative to the elements, uncorrected (eV/atom): 0.30

Structure (Quantum ESPRESSO input):
```
&SYSTEM
  ibrav = 0, nat = 4, ntyp = 3
/
ATOMIC_SPECIES
Mn 54.94 Mn.upf
Ru 101.07 Ru.upf
Te 127.60 Te.upf
CELL_PARAMETERS angstrom
-1.940 -2.369 0.247
2.964 -2.328 0.955
-0.764 1.169 5.221
ATOMIC_POSITIONS crystal
Mn 0.500 0.500 0.799
Ru 0.000 0.000 0.962
Ru 0.500 0.500 0.269
Te 0.000 0.000 0.470
```


# 10
This record from Alexandria via LeMat-Bulk describes crystalline Nd7YHo12 at its relaxed geometry. The functional is PBE-GGA. Values from VASP.

Formation energy (meV/atom): 644
N(E_F) (states/eV per atom): 1.44
SG: Im-3m
Polymorph energy (0 for the lowest one) (eV per atom): 0.413

Structure (Quantum ESPRESSO input):
```
&SYSTEM
  ibrav = 0, nat = 20, ntyp = 3
/
ATOMIC_SPECIES
Nd 144.24 Nd.upf
Y 88.91 Y.upf
Ho 164.93 Ho.upf
CELL_PARAMETERS angstrom
-4.054 4.201 7.853
-4.895 -8.178 -2.217
9.334 -2.209 1.936
ATOMIC_POSITIONS crystal
Nd 0.500 0.500 0.000
Nd 0.000 0.500 0.500
Nd 0.500 0.000 0.500
Nd 0.500 0.500 0.500
Nd 0.000 0.000 0.500
Nd 0.500 0.000 0.000
Nd 0.000 0.500 0.000
Y 0.000 0.000 0.000
Ho 0.505 0.753 0.752
Ho 0.000 0.753 0.248
Ho 0.495 0.247 0.248
Ho 0.000 0.247 0.752
Ho 0.752 0.000 0.247
Ho 0.752 0.505 0.753
Ho 0.248 0.000 0.753
Ho 0.248 0.495 0.247
Ho 0.753 0.752 0.505
Ho 0.247 0.248 0.495
Ho 0.753 0.248 0.000
Ho 0.247 0.752 0.000
```


# 11
This record from Alexandria via LeMat-Bulk describes crystalline TmCd7Pd4 at its relaxed geometry. The functional is PBE-GGA. Values from VASP.

Formation energy (meV/atom): -114
N(E_F) (states/eV per atom): 0.46
SG: C2/m

Structure (Quantum ESPRESSO input):
```
&SYSTEM
  ibrav = 0, nat = 12, ntyp = 3
/
ATOMIC_SPECIES
Tm 168.93 Tm.upf
Cd 112.41 Cd.upf
Pd 106.42 Pd.upf
CELL_PARAMETERS angstrom
-1.523 -2.873 -4.059
5.735 -6.074 -1.185
-3.628 -5.266 1.757
ATOMIC_POSITIONS crystal
Tm 0.000 0.000 0.000
Cd 0.785 0.876 0.554
Cd 0.215 0.124 0.446
Cd 0.064 0.633 0.238
Cd 0.936 0.367 0.762
Cd 0.331 0.595 0.743
Cd 0.500 0.000 0.000
Cd 0.669 0.405 0.257
Pd 0.576 0.214 0.634
Pd 0.424 0.786 0.366
Pd 0.694 0.669 0.942
Pd 0.306 0.331 0.058
```


# 12
This record from Alexandria via LeMat-Bulk describes crystalline Nd2ErAl12Fe3 at its relaxed geometry. The functional is PBE-GGA. Values from VASP.

Formation energy (meV/atom): 140
N(E_F) (states/eV per atom): 0.72
SG: R-3m

Structure (Quantum ESPRESSO input):
```
&SYSTEM
  ibrav = 0, nat = 18, ntyp = 4
/
ATOMIC_SPECIES
Nd 144.24 Nd.upf
Er 167.26 Er.upf
Al 26.98 Al.upf
Fe 55.84 Fe.upf
CELL_PARAMETERS angstrom
7.940 -0.326 -0.232
3.637 7.065 -0.232
3.637 2.117 6.745
ATOMIC_POSITIONS crystal
Nd 0.583 0.583 0.583
Nd 0.417 0.417 0.417
Er 0.000 0.000 0.000
Al 0.272 0.272 0.919
Al 0.839 0.839 0.470
Al 0.470 0.839 0.839
Al 0.919 0.272 0.272
Al 0.839 0.470 0.839
Al 0.272 0.919 0.272
Al 0.728 0.728 0.081
Al 0.161 0.161 0.530
Al 0.530 0.161 0.161
Al 0.081 0.728 0.728
Al 0.161 0.530 0.161
Al 0.728 0.081 0.728
Fe 0.500 0.000 0.000
Fe 0.000 0.500 0.000
Fe 0.000 0.000 0.500
```